The following is a GGA-PBEsol calculation of LiTa2Tc after structural relaxation, from Alexandria.

Cell lengths 2.6087, 4.4352, 5.4697 Å; angles 90.00, 90.00, 90.00 degrees
Fractional positions:
Li  0.0000  0.0000  0.0000
Ta  0.0000  0.0000  0.5134
Ta  0.5000  0.5000  0.2333
Tc  0.5000  0.5000  0.7446

Properties
As for the total magnetization: 0.0 μB per cell. The volume is 15.82 Å³/atom. For the total energy, the calculation gives -37.1 eV/cell. The calculated formation energy comes out at 0.30 eV per atom. The mass density is 12.25 g cm⁻³.



The following is a GGA-PBEsol calculation of Li3TaTc after structural relaxation, from Alexandria.

Cell lengths 4.2260, 4.2260, 4.2260 Å; angles 90.00, 90.00, 90.00 degrees
Fractional positions:
Li  0.0000  0.0000  0.5000
Li  0.0000  0.5000  0.0000
Li  0.5000  0.0000  0.0000
Ta  0.5000  0.5000  0.5000
Tc  0.0000  0.0000  0.0000

Properties
As for the total magnetization: 0.2 μB per cell. The volume is 15.09 Å³/atom. For the total energy, the calculation gives -21.3 eV/cell. The calculated formation energy comes out at 1.69 eV per atom. The mass density is 6.60 g cm⁻³.



The following is a GGA-PBEsol calculation of LiTaTe after structural relaxation, from Alexandria.

Cell lengths 3.5658, 5.0399, 13.9912 Å; angles 90.00, 90.00, 90.00 degrees
Fractional positions:
Li  0.0000  0.0000  0.0000
Li  0.0000  0.5000  0.5000
Li  0.5000  0.0000  0.5000
Li  0.5000  0.5000  0.0000
Ta  0.0000  0.0000  0.6602
Ta  0.0000  0.5000  0.1602
Ta  0.5000  0.0000  0.1602
Ta  0.5000  0.5000  0.6602
Te  0.0000  0.0000  0.3093
Te  0.0000  0.5000  0.8093
Te  0.5000  0.0000  0.8093
Te  0.5000  0.5000  0.3093

Properties
As for the total magnetization: 0.0 μB per cell. The volume is 20.95 Å³/atom. For the total energy, the calculation gives -69.0 eV/cell. As for the uncorrected formation energy: 267 meV per atom. The mass density is 8.33 g cm⁻³.



The following is a GGA-PBEsol calculation of LiTaTl2 after structural relaxation, from Alexandria.

Cell lengths 6.9490, 6.9490, 6.9490 Å; angles 90.00, 90.00, 90.00 degrees
Fractional positions:
Li  0.0000  0.0000  0.0000
Li  0.0000  0.5000  0.5000
Li  0.5000  0.0000  0.5000
Li  0.5000  0.5000  0.0000
Ta  0.2500  0.2500  0.7500
Ta  0.2500  0.7500  0.2500
Ta  0.7500  0.2500  0.2500
Ta  0.7500  0.7500  0.7500
Tl  0.0000  0.0000  0.5000
Tl  0.0000  0.5000  0.0000
Tl  0.2500  0.2500  0.2500
Tl  0.2500  0.7500  0.7500
Tl  0.5000  0.0000  0.0000
Tl  0.5000  0.5000  0.5000
Tl  0.7500  0.2500  0.7500
Tl  0.7500  0.7500  0.2500

Properties
As for the total magnetization: 0.0 μB per cell. The volume is 20.97 Å³/atom. For the total energy, the calculation gives -66.3 eV/cell. The calculated formation energy comes out at 0.80 eV per atom. The mass density is 11.81 g cm⁻³.



Please write out number 3 again, unchanged.
The following is a GGA-PBEsol calculation of LiTaTe after structural relaxation, from Alexandria.

Cell lengths 3.5658, 5.0399, 13.9912 Å; angles 90.00, 90.00, 90.00 degrees
Fractional positions:
Li  0.0000  0.0000  0.0000
Li  0.0000  0.5000  0.5000
Li  0.5000  0.0000  0.5000
Li  0.5000  0.5000  0.0000
Ta  0.0000  0.0000  0.6602
Ta  0.0000  0.5000  0.1602
Ta  0.5000  0.0000  0.1602
Ta  0.5000  0.5000  0.6602
Te  0.0000  0.0000  0.3093
Te  0.0000  0.5000  0.8093
Te  0.5000  0.0000  0.8093
Te  0.5000  0.5000  0.3093

Properties
As for the total magnetization: 0.0 μB per cell. The volume is 20.95 Å³/atom. For the total energy, the calculation gives -69.0 eV/cell. As for the uncorrected formation energy: 267 meV per atom. The mass density is 8.33 g cm⁻³.



Repeat the third record exactly.
The following is a GGA-PBEsol calculation of LiTaTe after structural relaxation, from Alexandria.

Cell lengths 3.5658, 5.0399, 13.9912 Å; angles 90.00, 90.00, 90.00 degrees
Fractional positions:
Li  0.0000  0.0000  0.0000
Li  0.0000  0.5000  0.5000
Li  0.5000  0.0000  0.5000
Li  0.5000  0.5000  0.0000
Ta  0.0000  0.0000  0.6602
Ta  0.0000  0.5000  0.1602
Ta  0.5000  0.0000  0.1602
Ta  0.5000  0.5000  0.6602
Te  0.0000  0.0000  0.3093
Te  0.0000  0.5000  0.8093
Te  0.5000  0.0000  0.8093
Te  0.5000  0.5000  0.3093

Properties
As for the total magnetization: 0.0 μB per cell. The volume is 20.95 Å³/atom. For the total energy, the calculation gives -69.0 eV/cell. As for the uncorrected formation energy: 267 meV per atom. The mass density is 8.33 g cm⁻³.



> Which value of total magnetization does entry 2 give?

0.2 μB per cell